CuB2Pb after structural relaxation. Source: the Alexandria database, functional PBE.

Results
**Energy above the most stable polymorph in this dataset**: 0 meV per atom
**Total DFT energy (no corrections)**: -4.4875 eV/atom
**Size of the total moment**: 0.0 μB per formula unit
**Energy relative to the elements**: 3.21 eV per formula unit

CIF file:
```
data_CuB2Pb
_space_group_name_H-M_alt 'I 41/a m d'
_space_group_IT_number 141
_cell_length_a 3.917
_cell_length_b 3.917
_cell_length_c 14.711
_cell_angle_alpha 90.00
_cell_angle_beta 90.00
_cell_angle_gamma 90.00
loop_
_space_group_symop_operation_xyz
'x,y,z'
'-x,-y,-z'
'-y+1/4,x+3/4,z+1/4'
'y+1/4,-x+3/4,-z+1/4'
'-x+1/2,-y,z+1/2'
'x+1/2,y,-z+1/2'
'y+1/4,-x+1/4,z+3/4'
'-y+1/4,x+1/4,-z+3/4'
'x,-y,-z'
'-x,y,z'
'-y+1/4,-x+1/4,-z+3/4'
'y+1/4,x+1/4,z+3/4'
'-x+1/2,y,-z+1/2'
'x+1/2,-y,z+1/2'
'y+1/4,x+3/4,-z+1/4'
'-y+1/4,-x+3/4,z+1/4'
'x+1/2,y+1/2,z+1/2'
'-x+1/2,-y+1/2,-z+1/2'
'-y+3/4,x+1/4,z+3/4'
'y+3/4,-x+1/4,-z+3/4'
'-x,-y+1/2,z'
'x,y+1/2,-z'
'y+3/4,-x+3/4,z+1/4'
'-y+3/4,x+3/4,-z+1/4'
'x+1/2,-y+1/2,-z+1/2'
'-x+1/2,y+1/2,z+1/2'
'-y+3/4,-x+3/4,-z+1/4'
'y+3/4,x+3/4,z+1/4'
'-x,y+1/2,-z'
'x,-y+1/2,z'
'y+3/4,x+1/4,-z+3/4'
'-y+3/4,-x+1/4,z+3/4'
loop_
_atom_site_label
_atom_site_type_symbol
_atom_site_fract_x
_atom_site_fract_y
_atom_site_fract_z
Cu1 Cu 0.000 0.250 0.375
B1 B 0.000 0.000 0.500
Pb1 Pb 0.000 0.250 0.875
```

=====

Cu6BPb2 after structural relaxation. Source: the Alexandria database, functional PBE.

Results
**Total DFT energy (no corrections)**: -4.0053 eV/atom
**Size of the total moment**: 0.0 μB per formula unit
**Energy relative to the elements**: 2.62 eV per formula unit

CIF file:
```
data_Cu6BPb2
_space_group_name_H-M_alt 'C 1 2/m 1'
_space_group_IT_number 12
_cell_length_a 9.446
_cell_length_b 5.471
_cell_length_c 6.075
_cell_angle_alpha 90.00
_cell_angle_beta 121.56
_cell_angle_gamma 90.00
loop_
_space_group_symop_operation_xyz
'x,y,z'
'-x,-y,-z'
'-x,y,-z'
'x,-y,z'
'x+1/2,y+1/2,z'
'-x+1/2,-y+1/2,-z'
'-x+1/2,y+1/2,-z'
'x+1/2,-y+1/2,z'
loop_
_atom_site_label
_atom_site_type_symbol
_atom_site_fract_x
_atom_site_fract_y
_atom_site_fract_z
Cu1 Cu 0.020 0.242 0.300
Cu2 Cu 0.238 0.500 0.703
B1 B 0.000 0.000 0.000
Pb1 Pb 0.226 0.500 0.177
```